VASP calculation (PBE) on a relaxed structure of Na16Hg12Pb.

Lattice parameters (Å, degrees): 9.9631 9.9631 10.3027 110.17 110.17 107.98
With the nearest neighbours (Å) after each atom.
Element x y z (fractional)
Na 0.2917 0.2917 0.7032  5 Hg 3.23-3.36, 7 Na 3.41-3.53
Na 0.7167 0.3236 0.3104  5 Hg 3.21-3.47, 4 Na 3.35-3.51, 1 Pb 3.38
Na 0.3236 0.7167 0.3104  5 Hg 3.21-3.47, 4 Na 3.35-3.51, 1 Pb 3.38
Na 0.2776 0.5808 0.5833  5 Hg 3.14-3.37, 3 Na 3.35-3.49
Na 0.9891 0.9891 0.6792  6 Hg 3.31-3.44, 4 Na 3.32-3.41, 1 Pb 3.70
Na 0.0010 0.6513 0.9988  4 Na 3.29-3.42, 6 Hg 3.35-3.52
Na 0.6790 0.4216 0.0098  5 Hg 3.13-3.35, 3 Na 3.38-3.50, 1 Pb 3.41
Na 0.0025 0.6985 0.4117  5 Hg 3.21-3.58, 5 Na 3.32-3.55, 1 Pb 3.32
Na 0.9969 0.4068 0.6847  5 Hg 3.21-3.35, 6 Na 3.29-3.57
Na 0.5808 0.2776 0.5833  5 Hg 3.14-3.37, 3 Na 3.35-3.49
Na 0.3453 0.3453 0.3182  1 Pb 3.28, 3 Na 3.35-3.39, 6 Hg 3.38-3.61
Na 0.6513 0.0010 0.9988  4 Na 3.29-3.42, 6 Hg 3.35-3.52
Na 0.9975 0.9975 0.0109  4 Na 3.36-3.42, 10 Hg 3.42-3.73
Na 0.4216 0.6790 0.0098  5 Hg 3.13-3.35, 3 Na 3.38-3.50, 1 Pb 3.41
Na 0.4068 0.9969 0.6847  5 Hg 3.21-3.35, 6 Na 3.29-3.57
Na 0.6985 0.0025 0.4117  5 Hg 3.21-3.58, 5 Na 3.32-3.55, 1 Pb 3.32
Hg 0.3677 0.1822 0.9839  3 Hg 2.99-3.19, 4 Na 3.13-3.32
Hg 0.8216 0.6233 0.6426  3 Hg 3.03-3.20, 5 Na 3.21-3.35, 1 Pb 3.29
Hg 0.1822 0.3677 0.9839  3 Hg 2.99-3.19, 4 Na 3.13-3.32
Hg 0.1920 0.7973 0.8091  3 Hg 3.03-3.17, 4 Na 3.14-3.35
Hg 0.1970 0.9981 0.3687  3 Hg 3.03-3.21, 5 Na 3.21-3.37
Hg 0.8175 0.8175 0.1780  3 Hg 3.02-3.10, 4 Na 3.28-3.29, 1 Pb 3.29
Hg 0.6233 0.8216 0.6426  3 Hg 3.03-3.20, 5 Na 3.21-3.35, 1 Pb 3.29
Hg 0.7973 0.1920 0.8091  3 Hg 3.03-3.17, 4 Na 3.14-3.35
Hg 0.9981 0.1970 0.3687  3 Hg 3.03-3.21, 5 Na 3.21-3.37
Hg 0.3805 0.0029 0.1881  3 Hg 3.03-3.19, 5 Na 3.21-3.39
Hg 0.0029 0.3805 0.1881  3 Hg 3.03-3.19, 5 Na 3.21-3.39
Hg 0.6180 0.6180 0.8161  3 Hg 3.02-3.13, 5 Na 3.22-3.28
Pb 0.6221 0.6221 0.3121  7 Na 3.28-3.41, 3 Hg 3.29

- Symmetry: No. 8
- Energy of formation: -199 meV per atom
- Crystal system: monoclinic

=====

VASP calculation (PBE) on a relaxed structure of Na5Hg3Pb.

Lattice parameters (Å, degrees): 6.5248 9.3659 9.3646 120.00 90.00 90.00
With the nearest neighbours (Å) after each atom.
Element x y z (fractional)
Pb 0.0000 0.0000 0.0000  2 Pb 3.26, 6 Na 3.40, 6 Hg 3.64
Pb 0.5000 0.0000 0.0000  2 Pb 3.26, 6 Na 3.40, 6 Hg 3.64
Na 0.0000 0.3333 0.6667  8 Na 3.26-3.58, 6 Hg 3.47
Na 0.5000 0.6667 0.3333  8 Na 3.26-3.58, 6 Hg 3.47
Na 0.7500 0.6809 0.6810  5 Hg 3.12-3.27, 2 Pb 3.40
Na 0.2500 0.3191 0.3190  5 Hg 3.12-3.27, 2 Pb 3.40
Na 0.7500 0.0000 0.3190  5 Hg 3.12-3.27, 2 Pb 3.40
Na 0.2500 0.0000 0.6810  5 Hg 3.12-3.27, 2 Pb 3.40
Na 0.5000 0.3333 0.6667  8 Na 3.26-3.58, 6 Hg 3.47
Na 0.0000 0.6667 0.3333  8 Na 3.26-3.58, 6 Hg 3.47
Na 0.2500 0.6810 0.0000  5 Hg 3.12-3.27, 2 Pb 3.40
Na 0.7500 0.3190 0.0000  5 Hg 3.12-3.27, 2 Pb 3.40
Hg 0.2500 0.0000 0.3473  9 Na 3.12-3.47
Hg 0.7500 0.6526 0.0000  9 Na 3.12-3.47
Hg 0.7500 0.3473 0.3473  9 Na 3.12-3.47
Hg 0.2500 0.6527 0.6527  9 Na 3.12-3.47
Hg 0.7500 0.0000 0.6527  9 Na 3.12-3.47
Hg 0.2500 0.3474 0.0000  9 Na 3.12-3.47

- Symmetry: No. 193
- Energy of formation: -183 meV per atom
- Crystal system: hexagonal

=====

VASP calculation (PBE) on a relaxed structure of Na5Hg12Pb2.

Lattice parameters (Å, degrees): 7.8976 8.0777 9.0915 63.62 87.47 90.00
With the nearest neighbours (Å) after each atom.
Element x y z (fractional)
Hg 0.3493 0.4169 0.7621  5 Hg 3.18-3.29, 4 Na 3.20-3.35, 1 Pb 3.29
Hg 0.6750 0.5567 0.8865  7 Hg 3.12-3.29, 2 Pb 3.25, 2 Na 3.39-3.42
Hg 0.2578 0.6398 0.3374  4 Hg 3.09-3.28, 4 Na 3.20-3.35
Hg 0.3493 0.8210 0.7621  5 Hg 3.18-3.29, 4 Na 3.20-3.35, 1 Pb 3.29
Hg 0.9119 0.8703 0.2594  2 Na 3.14-3.20, 4 Hg 3.18-3.23, 2 Pb 3.21
Hg 0.6507 0.5831 0.2379  5 Hg 3.18-3.29, 4 Na 3.20-3.35, 1 Pb 3.29
Hg 0.0881 0.1297 0.7406  2 Na 3.14-3.20, 4 Hg 3.18-3.23, 2 Pb 3.21
Hg 0.3250 0.4433 0.1135  7 Hg 3.12-3.29, 2 Pb 3.25, 2 Na 3.39-3.42
Hg 0.7422 0.3602 0.6626  4 Hg 3.09-3.28, 4 Na 3.20-3.35
Hg 0.2578 0.0229 0.3374  4 Hg 3.09-3.28, 4 Na 3.20-3.35
Hg 0.6507 0.1790 0.2379  5 Hg 3.18-3.29, 4 Na 3.20-3.35, 1 Pb 3.29
Hg 0.7422 0.9771 0.6626  4 Hg 3.09-3.28, 4 Na 3.20-3.35
Na 0.0256 0.6883 0.6233  8 Hg 3.14-3.42, 2 Pb 3.50
Na 0.4290 0.2441 0.5118  10 Hg 3.20-3.39
Na 0.5000 0.0000 0.0000  8 Hg 3.35-3.62
Na 0.5710 0.7559 0.4882  10 Hg 3.20-3.39
Na 0.9744 0.3117 0.3767  8 Hg 3.14-3.42, 2 Pb 3.50
Pb 0.0000 0.7098 0.0000  8 Hg 3.21-3.59, 1 Pb 3.39, 2 Na 3.50
Pb 0.0000 0.2902 0.0000  8 Hg 3.21-3.59, 1 Pb 3.39, 2 Na 3.50

- Symmetry: No. 12
- Energy of formation: -136 meV per atom
- Crystal system: monoclinic

=====

VASP calculation (PBE) on a relaxed structure of NaHg3Pb2.

Lattice parameters (Å, degrees): 5.0871 7.7502 8.7819 90.00 89.99 70.84
With the nearest neighbours (Å) after each atom.
Element x y z (fractional)
Pb 0.0000 0.0000 0.0000  8 Hg 3.25-3.32, 4 Na 3.48
Pb 0.3328 0.3343 0.5000  8 Hg 3.32-3.46, 4 Pb 3.51-3.53
Pb 0.0000 0.0000 0.5000  8 Hg 3.40-3.44, 4 Pb 3.53
Pb 0.6672 0.6657 0.5000  8 Hg 3.32-3.46, 4 Pb 3.51-3.53
Hg 0.8277 0.3445 0.2336  3 Na 3.17-3.27, 5 Pb 3.25-3.46, 2 Hg 3.41
Hg 0.1723 0.6555 0.7664  3 Na 3.17-3.27, 5 Pb 3.25-3.46, 2 Hg 3.41
Hg 0.4999 0.0000 0.2432  2 Na 3.20, 6 Pb 3.32-3.40
Hg 0.5001 0.0000 0.7568  2 Na 3.20, 6 Pb 3.32-3.40
Hg 0.8278 0.3445 0.7664  3 Na 3.17-3.27, 5 Pb 3.25-3.46, 2 Hg 3.41
Hg 0.1722 0.6555 0.2336  3 Na 3.17-3.27, 5 Pb 3.25-3.46, 2 Hg 3.41
Na 0.6624 0.6752 0.0000  8 Hg 3.17-3.27, 2 Pb 3.48
Na 0.3376 0.3248 0.0000  8 Hg 3.17-3.27, 2 Pb 3.48

- Symmetry: No. 65
- Energy of formation: -77 meV per atom
- ΔE to the lowest computed polymorph: 0.0 meV/atom
- Crystal system: orthorhombic

=====

VASP calculation (PBE) on a relaxed structure of NaHg5Pb2.

Lattice parameters (Å, degrees): 5.0230 5.0230 9.2295 105.79 105.79 90.00
With the nearest neighbours (Å) after each atom.
Element x y z (fractional)
Pb 0.7558 0.7558 0.5115  8 Hg 3.31-3.44, 4 Pb 3.56
Pb 0.2442 0.2442 0.4885  8 Hg 3.31-3.44, 4 Pb 3.56
Hg 0.1181 0.6181 0.2361  6 Hg 3.22-3.55, 2 Na 3.22, 4 Pb 3.31-3.44
Hg 0.3819 0.8819 0.7639  2 Na 3.22, 6 Hg 3.22-3.55, 4 Pb 3.31-3.44
Hg 0.5000 0.5000 0.0000  8 Hg 3.22, 4 Na 3.55
Hg 0.8819 0.3819 0.7639  6 Hg 3.22-3.55, 2 Na 3.22, 4 Pb 3.31-3.44
Hg 0.6181 0.1181 0.2361  2 Na 3.22, 6 Hg 3.22-3.55, 4 Pb 3.31-3.44
Na 0.0000 0.0000 0.0000  12 Hg 3.22-3.55

- Symmetry: No. 139
- Energy of formation: -72 meV per atom
- Crystal system: tetragonal

=====

VASP calculation (PBE) on a relaxed structure of Na2HgPb.

Lattice parameters (Å, degrees): 3.5048 3.5048 11.4076 81.16 81.16 60.00
With the nearest neighbours (Å) after each atom.
Element x y z (fractional)
Na 0.9061 0.9061 0.2816  1 Pb 3.16, 3 Hg 3.18, 6 Na 3.50
Na 0.0939 0.0939 0.7184  1 Pb 3.16, 3 Hg 3.18, 6 Na 3.50
Pb 0.0000 0.0000 0.0000  2 Na 3.16, 6 Pb 3.50
Hg 0.5000 0.5000 0.5000  6 Na 3.18, 6 Hg 3.50

- Symmetry: No. 166
- Energy of formation: -54 meV per atom
- Crystal system: trigonal

=====

VASP calculation (PBE) on a relaxed structure of Na2HgPb.

Lattice parameters (Å, degrees): 3.5300 3.5300 10.7635 80.56 80.56 60.00
With the nearest neighbours (Å) after each atom.
Element x y z (fractional)
Na 0.2534 0.2534 0.2399  3 Hg 3.26, 3 Pb 3.42, 6 Na 3.53
Na 0.0799 0.0799 0.7602  3 Hg 3.25, 3 Pb 3.42, 6 Na 3.53
Pb 0.5000 0.5000 0.5001  6 Na 3.42, 6 Pb 3.53
Hg 0.6668 0.6668 0.9997  6 Na 3.25-3.26, 6 Hg 3.53

- Symmetry: No. 160
- Energy of formation: -136 meV per atom
- Crystal system: trigonal

=====

VASP calculation (PBE) on a relaxed structure of Na3Hg2Pb.

Lattice parameters (Å, degrees): 3.7489 3.7489 11.4836 90.00 90.00 90.00
With the nearest neighbours (Å) after each atom.
Element x y z (fractional)
Hg 0.5000 0.5000 0.8436  8 Na 3.20-3.26
Hg 0.5000 0.5000 0.1564  8 Na 3.20-3.26
Pb 0.5000 0.5000 0.5000  8 Na 3.35, 4 Pb 3.75
Na 0.0000 0.0000 0.6780  4 Hg 3.26, 4 Pb 3.35
Na 0.0000 0.0000 0.3220  4 Hg 3.26, 4 Pb 3.35
Na 0.0000 0.0000 0.0000  8 Hg 3.20

- Symmetry: No. 123
- Energy of formation: -202 meV per atom
- Crystal system: tetragonal

=====

VASP calculation (PBE) on a relaxed structure of Na12Hg5Pb.

Lattice parameters (Å, degrees): 8.9740 8.9740 8.9740 100.07 111.75 117.05
With the nearest neighbours (Å) after each atom.
Element x y z (fractional)
Na 0.2875 0.3331 0.6207  3 Hg 3.14-3.26, 1 Pb 3.48
Na 0.5217 0.8082 0.7135  4 Hg 3.18-3.40, 2 Na 3.55
Na 0.2875 0.6669 0.9544  3 Hg 3.14-3.26, 1 Pb 3.48
Na 0.4783 0.1918 0.2865  4 Hg 3.18-3.40, 2 Na 3.55
Na 0.8116 0.5641 0.7525  3 Hg 3.17-3.36, 1 Pb 3.40, 3 Na 3.53
Na 0.0947 0.8082 0.2865  4 Hg 3.18-3.40, 2 Na 3.55
Na 0.7125 0.6669 0.3793  3 Hg 3.14-3.26, 1 Pb 3.48
Na 0.9053 0.1918 0.7135  4 Hg 3.18-3.40, 2 Na 3.55
Na 0.1884 0.4359 0.2475  3 Hg 3.17-3.36, 1 Pb 3.40, 3 Na 3.53
Na 0.1884 0.9409 0.7525  3 Hg 3.17-3.36, 1 Pb 3.40, 3 Na 3.53
Na 0.8116 0.0591 0.2475  3 Hg 3.17-3.36, 1 Pb 3.40, 3 Na 3.53
Na 0.7125 0.3331 0.0456  3 Hg 3.14-3.26, 1 Pb 3.48
Pb 0.0000 0.5000 0.5000  12 Na 3.40-3.60
Hg 0.5000 0.1333 0.6333  1 Hg 3.07, 8 Na 3.14-3.23
Hg 0.3357 0.3357 0.0000  2 Hg 3.08-3.15, 8 Na 3.17-3.26
Hg 0.5000 0.8667 0.3667  1 Hg 3.07, 8 Na 3.14-3.23
Hg 0.6643 0.6643 0.0000  2 Hg 3.08-3.15, 8 Na 3.17-3.26
Hg 0.0000 0.0000 0.0000  2 Hg 3.15, 8 Na 3.36-3.40

- Symmetry: No. 71
- Energy of formation: -173 meV per atom
- Crystal system: orthorhombic

=====

VASP calculation (PBE) on a relaxed structure of Na2Hg4Pb.

Lattice parameters (Å, degrees): 7.6200 7.6200 6.2966 127.52 127.53 89.62
With the nearest neighbours (Å) after each atom.
Element x y z (fractional)
Hg 0.6976 0.3025 0.0001  2 Hg 3.03, 4 Na 3.20, 1 Pb 3.25
Hg 0.3024 0.6975 0.9999  2 Hg 3.03, 4 Na 3.20, 1 Pb 3.25
Hg 0.6998 0.6998 0.0000  2 Hg 3.03, 4 Na 3.18, 1 Pb 3.25
Hg 0.3002 0.3002 0.0000  2 Hg 3.03, 4 Na 3.18, 1 Pb 3.25
Pb 0.0000 0.0000 0.9999  4 Hg 3.25
Na 0.2500 0.7501 0.5000  8 Hg 3.18-3.20, 2 Na 3.23
Na 0.7500 0.2500 0.5000  8 Hg 3.18-3.20, 2 Na 3.23

- Symmetry: No. 69
- Energy of formation: -133 meV per atom
- ΔE to the lowest computed polymorph: 0.0 meV/atom
- Crystal system: orthorhombic

=====

VASP calculation (PBE) on a relaxed structure of Na3Hg2Pb5.

Lattice parameters (Å, degrees): 6.6777 10.5108 10.5108 88.69 71.48 71.48
With the nearest neighbours (Å) after each atom.
Element x y z (fractional)
Na 0.3461 0.4591 0.8488  1 Hg 3.27, 5 Pb 3.42-3.65
Na 0.6539 0.5409 0.1512  1 Hg 3.27, 5 Pb 3.42-3.65
Na 0.8461 0.8488 0.4591  1 Hg 3.27, 5 Pb 3.42-3.65
Na 0.2500 0.0000 0.0000  4 Hg 3.05, 2 Pb 3.13, 2 Na 3.34
Na 0.7500 0.0000 0.0000  4 Hg 3.05, 2 Pb 3.13, 2 Na 3.34
Na 0.1539 0.1512 0.5409  1 Hg 3.27, 5 Pb 3.42-3.65
Pb 0.3577 0.7877 0.4969  1 Hg 3.05, 4 Pb 3.19-3.32
Pb 0.9824 0.7676 0.7676  1 Na 3.13, 4 Pb 3.19-3.34
Pb 0.5176 0.2324 0.2324  1 Na 3.13, 4 Pb 3.19-3.34
Pb 0.7500 0.5000 0.5000  8 Pb 3.32-3.60
Pb 0.0176 0.2324 0.2324  1 Na 3.13, 4 Pb 3.19-3.34
Pb 0.4824 0.7676 0.7676  1 Na 3.13, 4 Pb 3.19-3.34
Pb 0.8577 0.4969 0.7877  1 Hg 3.05, 4 Pb 3.19-3.32
Pb 0.6423 0.2123 0.5031  1 Hg 3.05, 4 Pb 3.19-3.32
Pb 0.1423 0.5031 0.2123  1 Hg 3.05, 4 Pb 3.19-3.32
Pb 0.2500 0.5000 0.5000  8 Pb 3.32-3.60
Hg 0.0389 0.7913 0.1310  3 Na 3.05-3.27, 1 Pb 3.05
Hg 0.9611 0.2087 0.8690  3 Na 3.05-3.27, 1 Pb 3.05
Hg 0.4611 0.8690 0.2087  3 Na 3.05-3.27, 1 Pb 3.05
Hg 0.5389 0.1310 0.7913  3 Na 3.05-3.27, 1 Pb 3.05

- Symmetry: No. 72
- Energy of formation: -48 meV per atom
- ΔE to the lowest computed polymorph: 0.0 meV/atom
- Crystal system: orthorhombic

=====

VASP calculation (PBE) on a relaxed structure of NaHg2Pb2.

Lattice parameters (Å, degrees): 5.5034 6.1099 8.5427 77.06 90.00 90.00
With the nearest neighbours (Å) after each atom.
Element x y z (fractional)
Hg 0.2500 0.3334 0.9926  3 Hg 3.19-3.44, 3 Na 3.31-3.33, 5 Pb 3.31-3.51
Hg 0.7500 0.4795 0.3871  4 Pb 3.17-3.41, 3 Hg 3.19-3.40, 3 Na 3.28-3.32
Hg 0.7500 0.6666 0.0074  3 Hg 3.19-3.44, 3 Na 3.31-3.33, 5 Pb 3.31-3.51
Hg 0.2500 0.5205 0.6129  4 Pb 3.17-3.41, 3 Hg 3.19-3.40, 3 Na 3.28-3.32
Pb 0.2500 0.1438 0.4116  4 Hg 3.17-3.51, 5 Pb 3.40-3.43, 2 Na 3.42-3.49
Pb 0.2500 0.9061 0.8123  5 Hg 3.20-3.49, 3 Na 3.40-3.58, 3 Pb 3.40-3.41
Pb 0.7500 0.8562 0.5884  4 Hg 3.17-3.51, 5 Pb 3.40-3.43, 2 Na 3.42-3.49
Pb 0.7500 0.0939 0.1877  5 Hg 3.20-3.49, 3 Na 3.40-3.58, 3 Pb 3.40-3.41
Na 0.2500 0.7108 0.2171  6 Hg 3.28-3.33, 5 Pb 3.40-3.58
Na 0.7500 0.2892 0.7829  6 Hg 3.28-3.33, 5 Pb 3.40-3.58

- Symmetry: No. 11
- Energy of formation: -99 meV per atom
- ΔE to the lowest computed polymorph: 0.0 meV/atom
- Crystal system: monoclinic

=====

The calculation returns the following total DFT energy (no corrections) values, one per record and in order: -1.1797, -1.4279, -1.0639, -1.6842, -1.3528, -1.7158, -1.7981, -1.5802, -1.3423, -1.2124, -2.3584, -1.9669 eV/atom.